1.
Compound: YZrSc2
Source: Alexandria
Functional: meta-GGA SCAN
Structure: single point on PBEsol structure

Lattice parameters (Å, degrees): 3.2407 5.5785 5.7371 99.24 90.00 106.89
Fractional positions:
Sc1 0.7445 0.4890 0.7327
Y1 0.5000 0.0000 0.0000
Sc2 0.2555 0.5110 0.2673
Zr1 0.0000 0.0000 0.5000

Values from the calculation:
The total DFT energy (no corrections) comes out at -86.58 eV/f.u. As for the space-group type: No. 12. The formation enthalpy at 0 K is 0.1080 eV/atom. The calculation puts the mass density at 4.583 Mg/m³.

---

2.
Compound: YZrSc2
Source: Alexandria
Functional: meta-GGA SCAN
Structure: single point on PBEsol structure

Lattice parameters (Å, degrees): 4.5500 4.6224 4.6224 90.00 90.00 90.00
Fractional positions:
Zr1 0.5000 0.0000 0.0000
Sc1 0.0000 0.0000 0.5000
Y1 0.5000 0.5000 0.5000
Sc2 0.0000 0.5000 0.0000

Values from the calculation:
The total DFT energy (no corrections) comes out at -86.59 eV/f.u. As for the space-group type: No. 123. The formation enthalpy at 0 K is 0.1057 eV/atom. The calculation puts the mass density at 4.612 Mg/m³.